Compound: BaCaSc
Source: Alexandria
Functional: PBE-GGA
Structure: optimized geometry

Unit cell a=6.079 b=6.079 c=3.632 alpha=90.00 beta=90.00 gamma=120.00
Fractional coordinates of all 3 atoms:
Sc1 0.667 0.333 0.673
Ca1 0.333 0.667 0.335
Ba1 0.000 0.000 0.993

## Properties
Final energy   -3.101 eV per atom
Magnetic moment   0.00 μB per formula unit
Space group   P3m1 (156)
ΔH_f (0 K)   0.3179 eV/atom
Polymorph energy (0 for the lowest one)   40.5 meV per atom